(1)
A geometry-optimized GdErNi2 structure. Source: Alexandria via LeMat-Bulk, functional PBE-GGA.

## Properties
* crystal system: tetragonal
* SG: No. 123

CIF file:
```
data_GdErNi2
_chemical_formula_sum 'Gd1 Er1 Ni2'
_cell_length_a 3.331
_cell_length_b 4.805
_cell_length_c 4.805
_cell_angle_alpha 90.00
_cell_angle_beta 90.00
_cell_angle_gamma 90.00
_symmetry_space_group_name_H-M 'P 1'
_symmetry_Int_Tables_number 1
loop_
_symmetry_equiv_pos_as_xyz
'x,y,z'
loop_
_atom_site_label
_atom_site_fract_x
_atom_site_fract_y
_atom_site_fract_z
Ni1 0.000 0.000 0.500
Ni2 0.000 0.500 0.000
Gd1 0.500 0.000 0.000
Er1 0.500 0.500 0.500
```

---

(2)
A geometry-optimized Gd2ErNi structure. Source: Alexandria via LeMat-Bulk, functional PBE-GGA.

## Properties
* crystal system: trigonal
* SG: No. 166

CIF file:
```
data_Gd2ErNi
_chemical_formula_sum 'Gd2 Er1 Ni1'
_cell_length_a 3.612
_cell_length_b 3.612
_cell_length_c 10.523
_cell_angle_alpha 80.12
_cell_angle_beta 80.12
_cell_angle_gamma 60.00
_symmetry_space_group_name_H-M 'P 1'
_symmetry_Int_Tables_number 1
loop_
_symmetry_equiv_pos_as_xyz
'x,y,z'
loop_
_atom_site_label
_atom_site_fract_x
_atom_site_fract_y
_atom_site_fract_z
Ni1 0.500 0.500 0.500
Gd1 0.111 0.111 0.668
Gd2 0.889 0.889 0.332
Er1 0.000 0.000 0.000
```

---

Number 1: volume 76.9 Å³/cell, distance to the lowest polymorph of the same formula 0.00 kcal/mol of atoms, E_form -0.382 eV/atom. Number 2: volume 116.5 Å³/cell, distance to the lowest polymorph of the same formula 5.16 kcal/mol of atoms, E_form 0.097 eV/atom.